(1)
Density functional theory data (PBE) for an optimized crystal structure of MnGaSb2.

**E**: -4.68 eV per atom
**Uncorrected formation energy**: 0.431 eV/atom
**SG**: R-3m

Lattice parameters (Å, degrees): 3.218 3.218 11.046 81.62 81.62 60.00
Each line ends with the local moment (μB).
Positions (direct):
Sb  0.082  0.082  0.753  -0.02
Sb  0.918  0.918  0.247  -0.02
Mn  0.000  0.000  0.000  3.77
Ga  0.500  0.500  0.500  0.00

***

(2)
Density functional theory data (PBE) for an optimized crystal structure of MnGaSb3.

**E**: -4.48 eV per atom
**Uncorrected formation energy**: 0.429 eV/atom
**SG**: Pm-3m

Lattice parameters (Å, degrees): 4.918 4.918 4.918 90.00 90.00 90.00
Each line ends with the local moment (μB).
Positions (direct):
Sb  0.000  0.500  0.000  -0.07
Sb  0.000  0.000  0.500  -0.06
Sb  0.500  0.000  0.000  -0.07
Mn  0.000  0.000  0.000  1.73
Ga  0.500  0.500  0.500  0.04

***

The DOS(E_F) results, record by record, are as follows: 0.720 0.837 states/eV/atom.